This record from Alexandria via LeMat-Bulk describes a relaxed structure of GaAgAu2. The functional is PBE.

Geometry as CIF:
```
data_GaAgAu2
_space_group_name_H-M_alt 'P 1'
_space_group_IT_number 1
_cell_length_a 7.4489
_cell_length_b 7.4489
_cell_length_c 5.9449
_cell_angle_alpha 51.21
_cell_angle_beta 51.21
_cell_angle_gamma 90.00
loop_
_space_group_symop_operation_xyz
'x,y,z'
loop_
_atom_site_label
_atom_site_fract_x
_atom_site_fract_y
_atom_site_fract_z
Ga1 0.5000 0.5000 0.0000
Ga2 0.2500 0.7500 0.5000
Au1 0.3750 0.4009 0.7500
Au2 0.1509 0.6250 0.2500
Au3 0.8750 0.8491 0.7500
Au4 0.5991 0.1250 0.2500
Ag1 0.7500 0.2500 0.5000
Ag2 0.0000 0.0000 0.0000
```

## Properties
Energy of formation = -12 meV per atom
SG = I-42d (122)
Magnetic moment = 0.000 μB per cell

=====

This record from Alexandria via LeMat-Bulk describes a relaxed structure of GaAg4Au5. The functional is PBE.

Geometry as CIF:
```
data_GaAg4Au5
_space_group_name_H-M_alt 'P 1'
_space_group_IT_number 1
_cell_length_a 5.5333
_cell_length_b 6.5350
_cell_length_c 6.5350
_cell_angle_alpha 79.67
_cell_angle_beta 64.95
_cell_angle_gamma 64.95
loop_
_space_group_symop_operation_xyz
'x,y,z'
loop_
_atom_site_label
_atom_site_fract_x
_atom_site_fract_y
_atom_site_fract_z
Ag1 0.1288 0.2661 0.3945
Ag2 0.7894 0.7339 0.6055
Ag3 0.5233 0.6055 0.2661
Ag4 0.3949 0.3945 0.7339
Ga1 0.1997 0.0000 0.0000
Au1 0.8482 0.3522 0.8701
Au2 0.0705 0.6478 0.1299
Au3 0.2004 0.8701 0.6478
Au4 0.7182 0.1299 0.3522
Au5 0.6370 0.0000 0.0000
```

## Properties
Energy of formation = 56 meV per atom
SG = I4 (79)
Offset from the most stable computed form = 117 meV per atom
Magnetic moment = 0.000 μB per cell

=====

This record from Alexandria via LeMat-Bulk describes a relaxed structure of Ga2Ag8Au. The functional is PBE.

Geometry as CIF:
```
data_Ga2Ag8Au
_space_group_name_H-M_alt 'P 1'
_space_group_IT_number 1
_cell_length_a 4.4216
_cell_length_b 7.2833
_cell_length_c 7.2833
_cell_angle_alpha 77.80
_cell_angle_beta 80.40
_cell_angle_gamma 80.40
loop_
_space_group_symop_operation_xyz
'x,y,z'
loop_
_atom_site_label
_atom_site_fract_x
_atom_site_fract_y
_atom_site_fract_z
Ag1 0.2010 0.3538 0.8260
Ag2 0.7019 0.5849 0.5849
Ag3 0.7990 0.6462 0.1740
Ag4 0.8850 0.2562 0.2562
Ag5 0.7990 0.1740 0.6462
Ag6 0.2981 0.4151 0.4151
Ag7 0.1150 0.7438 0.7438
Ag8 0.2010 0.8260 0.3538
Au1 0.0000 0.0000 0.0000
Ga1 0.4474 0.1369 0.1369
Ga2 0.5526 0.8631 0.8631
```

## Properties
Energy of formation = 116 meV per atom
SG = C2/m (12)
Magnetic moment = 0.000 μB per cell

=====

This record from Alexandria via LeMat-Bulk describes a relaxed structure of GaAg2Au. The functional is PBE.

Geometry as CIF:
```
data_GaAg2Au
_space_group_name_H-M_alt 'P 1'
_space_group_IT_number 1
_cell_length_a 4.6290
_cell_length_b 4.6290
_cell_length_c 4.6385
_cell_angle_alpha 60.07
_cell_angle_beta 60.07
_cell_angle_gamma 60.00
loop_
_space_group_symop_operation_xyz
'x,y,z'
loop_
_atom_site_label
_atom_site_fract_x
_atom_site_fract_y
_atom_site_fract_z
Ga1 0.7500 0.7500 0.7499
Au1 0.4996 0.4996 0.5011
Ag1 0.2500 0.2500 0.2500
Ag2 0.0003 0.0003 0.9990
```

## Properties
Energy of formation = -36 meV per atom
SG = R3m (160)
Magnetic moment = 0.000 μB per cell

=====

- energy of formation of number 1 (GaAgAu2)?
  -12 meV per atom

=====

- The lowest energy of formation belongs to which entry?
  GaAg2Au